An optimized crystal structure of TiPN3. Source: Alexandria, functional GGA-PBE.

Cell: 3.4925 3.4925 5.3422 Å, 90.00 90.00 90.00°
Each line ends with the local moment (μB).
Element x y z (fractional)
N: 0.0000 0.0000 0.8381  0.78
N: 0.0000 0.5000 0.3719  0.05
N: 0.5000 0.0000 0.3719  0.05
P: 0.5000 0.5000 0.4939  0.01
Ti: 0.0000 0.0000 0.1879  -0.03

Results
Raw formation energy (meV/atom): 375


An optimized crystal structure of SrTa2P. Source: Alexandria, functional GGA-PBE.

Cell: 4.9328 4.9328 9.7031 Å, 75.27 75.27 90.00°
Element x y z (fractional)
P: 0.5000 0.5000 0.0000
P: 0.2500 0.7500 0.5000
Ta: 0.3753 0.6250 0.2500
Ta: 0.3747 0.1250 0.2500
Ta: 0.3750 0.6253 0.7500
Ta: 0.8750 0.6247 0.7500
Sr: 0.0000 0.0000 0.0000
Sr: 0.7500 0.2500 0.5000

Results
Total energy (eV/atom): -7.177


An optimized crystal structure of KCd11Hg. Source: Alexandria, functional GGA-PBE.

Cell: 6.0624 7.9373 7.9222 Å, 80.87 67.50 65.50°
Element x y z (fractional)
Cd: 0.5039 0.7842 0.2168
Cd: 0.6363 0.3546 0.3561
Cd: 0.0000 0.5000 0.0000
Cd: 0.9923 0.3546 0.6439
Cd: 0.5000 0.0000 0.5000
Cd: 0.3637 0.6454 0.6439
Cd: 0.7207 0.7842 0.7832
Cd: 0.0000 0.0000 0.5000
Cd: 0.2793 0.2158 0.2168
Cd: 0.0077 0.6454 0.3561
Cd: 0.4961 0.2158 0.7832
K: 0.0000 0.0000 0.0000
Hg: 0.5000 0.5000 0.0000

Results
Total energy (eV/atom): -0.912


An optimized crystal structure of Cs2Rb2Mo. Source: Alexandria, functional GGA-PBE.

Cell: 10.0773 10.0773 7.6374 Å, 90.00 90.00 90.00°
Each line ends with the local moment (μB).
Element x y z (fractional)
Rb: 0.3473 0.8473 0.0000  0.01
Rb: 0.6527 0.1527 0.0000  0.01
Rb: 0.1527 0.3473 0.0000  0.01
Rb: 0.8473 0.6527 0.0000  0.01
Mo: 0.5000 0.5000 0.0000  3.91
Mo: 0.0000 0.0000 0.0000  3.92
Cs: 0.3127 0.1873 0.5000  0.00
Cs: 0.6873 0.8127 0.5000  0.00
Cs: 0.1873 0.6873 0.5000  0.00
Cs: 0.8127 0.3127 0.5000  0.00

Results
Total energy (eV/atom): -1.896


An optimized crystal structure of CrOsSe2. Source: Alexandria, functional GGA-PBE.

Cell: 9.7675 9.7675 9.7675 Å, 17.63 17.63 17.63°
Element x y z (fractional)
Se: 0.0272 0.0272 0.0272
Se: 0.2196 0.2196 0.2196
Os: 0.7572 0.7572 0.7572
Cr: 0.4959 0.4959 0.4959

Results
Offset from the most stable computed form (eV/atom): 0.2140
Raw formation energy (meV/atom): 143


An optimized crystal structure of Yb2GaHg. Source: Alexandria, functional GGA-PBE.

Cell: 5.2164 5.2164 5.2164 Å, 60.00 60.00 60.00°
Each line ends with the local moment (μB).
Element x y z (fractional)
Hg: 0.0000 0.0000 0.0000  0.00
Yb: 0.7500 0.7500 0.7500  0.20
Yb: 0.2500 0.2500 0.2500  0.20
Ga: 0.5000 0.5000 0.5000  0.01

Results
Total energy (eV/atom): -2.172


An optimized crystal structure of Cs2NaTe2. Source: Alexandria, functional GGA-PBE.

Cell: 6.8631 6.8631 7.7330 Å, 63.66 63.66 90.00°
Element x y z (fractional)
Na: 0.0000 0.0000 0.0000
Te: 0.7500 0.2500 0.5000
Te: 0.2500 0.7500 0.5000
Cs: 0.3472 0.3472 0.3057
Cs: 0.6528 0.6528 0.6943

Results
Offset from the most stable computed form (eV/atom): 0.5025
Raw formation energy (meV/atom): -412


An optimized crystal structure of LaTl2Co. Source: Alexandria, functional GGA-PBE.

Cell: 4.3300 4.3300 11.6445 Å, 79.28 79.28 90.00°
Each line ends with the local moment (μB).
Element x y z (fractional)
Co: 0.5000 0.5000 0.0000  0.91
Co: 0.2500 0.7500 0.5000  0.91
Tl: 0.3750 0.3976 0.7500  -0.02
Tl: 0.8750 0.8524 0.7500  -0.02
Tl: 0.1476 0.6250 0.2500  -0.01
Tl: 0.6024 0.1250 0.2500  -0.01
La: 0.7500 0.2500 0.5000  -0.12
La: 0.0000 0.0000 0.0000  -0.12

Results
Total energy (eV/atom): -3.919


An optimized crystal structure of InCu2F8. Source: Alexandria, functional GGA-PBE.

Cell: 4.4547 5.7798 5.7798 Å, 72.18 90.64 90.64°
Each line ends with the local moment (μB).
Element x y z (fractional)
Cu: 0.7529 0.3836 0.3836  0.85
Cu: 0.2471 0.6164 0.6164  0.85
F: 0.2436 0.3320 0.8903  0.08
F: 0.2488 0.4113 0.4113  0.21
F: 0.7564 0.6680 0.1097  0.08
F: 0.2709 0.8185 0.8185  0.08
F: 0.7291 0.1815 0.1815  0.08
F: 0.2436 0.8903 0.3320  0.08
F: 0.7512 0.5887 0.5887  0.21
F: 0.7564 0.1097 0.6680  0.08
In: 0.0000 0.0000 0.0000  0.02

Results
Raw formation energy (meV/atom): -1777


An optimized crystal structure of CsZn3W. Source: Alexandria, functional GGA-PBE.

Cell: 5.1916 5.1916 5.1916 Å, 90.00 90.00 90.00°
Each line ends with the local moment (μB).
Element x y z (fractional)
Cs: 0.5000 0.5000 0.5000  0.01
W: 0.0000 0.0000 0.0000  1.53
Zn: 0.0000 0.5000 0.0000  0.07
Zn: 0.0000 0.0000 0.5000  0.06
Zn: 0.5000 0.0000 0.0000  0.06

Results
Offset from the most stable computed form (eV/atom): 0.0000


An optimized crystal structure of Pu2Ge3Pd6. Source: Alexandria, functional GGA-PBE.

Cell: 4.3283 7.4324 7.4324 Å, 120.00 90.00 90.00°
Each line ends with the local moment (μB).
Element x y z (fractional)
Pd: 0.5000 0.2891 0.0000  0.02
Pd: 0.0000 0.0000 0.7864  0.01
Pd: 0.5000 0.0000 0.2891  0.02
Pd: 0.0000 0.7864 0.0000  0.01
Pd: 0.5000 0.7109 0.7109  0.02
Pd: 0.0000 0.2136 0.2136  0.01
Pu: 0.0000 0.3333 0.6667  5.20
Pu: 0.0000 0.6667 0.3333  5.20
Ge: 0.5000 0.6193 0.0000  -0.01
Ge: 0.5000 0.3807 0.3807  -0.01
Ge: 0.5000 0.0000 0.6193  -0.01

Results
Total energy (eV/atom): -7.234


An optimized crystal structure of NdAl3Au2. Source: Alexandria, functional GGA-PBE.

Cell: 4.2781 8.7237 10.2275 Å, 104.29 90.00 104.19°
Element x y z (fractional)
Au: 0.4758 0.9516 0.2225
Au: 0.1987 0.3973 0.1146
Au: 0.3522 0.7044 0.5412
Au: 0.8013 0.6027 0.8854
Au: 0.6478 0.2956 0.4588
Au: 0.5242 0.0484 0.7775
Al: 0.6279 0.2558 0.1969
Al: 0.7875 0.5751 0.6242
Al: 0.9570 0.9140 0.6396
Al: 0.3721 0.7442 0.8031
Al: 0.3364 0.6728 0.0435
Al: 0.6636 0.3272 0.9565
Al: 0.2125 0.4249 0.3758
Al: 0.5000 0.0000 0.5000
Al: 0.0430 0.0860 0.3604
Nd: 0.8418 0.6835 0.2945
Nd: 0.0000 0.0000 0.0000
Nd: 0.1582 0.3165 0.7055

Results
Offset from the most stable computed form (eV/atom): 0.0000